# Na2YPWO8 PBE+U optimized geometry
data_Na2YPWO8
_chemical_formula_sum 'Na16 Y8 P8 W8 O64'
_space_group_name_H-M_alt 'I b c a'
_space_group_IT_number 73
_space_group_name_Hall '-I 2b 2c'
_cell_length_a 6.980
_cell_length_b 12.271
_cell_length_c 18.246
_cell_angle_alpha 90.00
_cell_angle_beta 90.00
_cell_angle_gamma 90.00
loop_
_atom_site_label
_atom_site_type_symbol
_atom_site_fract_x
_atom_site_fract_y
_atom_site_fract_z
Na1 Na 0.002 0.049 0.155
Y1 Y 0.250 0.177 0.500
P1 P 0.250 0.069 0.000
W1 W 0.000 0.250 0.322
O1 O 0.042 0.129 0.768
O2 O 0.076 0.148 0.007
O3 O 0.210 0.225 0.379
O4 O 0.240 0.006 0.568
# uncorrected energy: -7.191 eV per atom
# calculated volume: 195.35 Å³/f.u.
# N(E_F): 0.000 states/eV/atom
# total magnetic moment: 0.0 μB/f.u.